No. 1
{
  "formula": "NaSi2PdW",
  "functional": "PBE",
  "state": "relaxed",
  "space_group": "P4/mmm",
  "raw_formation_energy_ev_per_atom": 0.546,
  "energy_ev_per_atom": -5.52,
  "dos_ef_per_ev_cell": 2.84,
  "cell": [[4.7710, 0.0000, 0.0000], [0.0000, 4.7710, 0.0000], [0.0000, 0.0000, 5.0094]],
  "species": ["Na", "Si", "Si", "Pd", "W"],
  "fractional_positions": [[0.0000, 0.0000, 0.0000], [0.0000, 0.5000, 0.5000], [0.5000, 0.0000, 0.5000], [0.5000, 0.5000, 0.0000], [0.5000, 0.5000, 0.5000]]
}



No. 2
{
  "formula": "Tb6CoHg3",
  "functional": "PBE",
  "state": "relaxed",
  "space_group": "P2_1/c",
  "energy_ev_per_atom": -3.85,
  "e_above_lowest_polymorph_ev_per_atom": 0.018,
  "dos_ef_per_ev_cell": 17.30,
  "cell": [[5.3773, 0.0000, 0.0000], [0.0000, 8.7840, 0.0000], [-5.0150, 0.0000, 11.2324]],
  "species": ["Tb", "Tb", "Tb", "Tb", "Tb", "Tb", "Tb", "Tb", "Tb", "Tb", "Tb", "Tb", "Co", "Co", "Hg", "Hg", "Hg", "Hg", "Hg", "Hg"],
  "fractional_positions": [[0.0320, 0.1948, 0.0734], [0.0320, 0.3052, 0.5734], [0.2799, 0.5198, 0.2325], [0.2799, 0.9802, 0.7325], [0.3672, 0.1512, 0.4212], [0.3672, 0.3488, 0.9212], [0.6328, 0.6512, 0.0788], [0.6328, 0.8488, 0.5788], [0.7201, 0.0198, 0.2675], [0.7201, 0.4802, 0.7675], [0.9680, 0.6948, 0.4266], [0.9680, 0.8052, 0.9266], [0.0000, 0.0000, 0.5000], [0.0000, 0.5000, 0.0000], [0.1828, 0.6378, 0.7281], [0.1828, 0.8622, 0.2281], [0.5000, 0.0000, 0.0000], [0.5000, 0.5000, 0.5000], [0.8172, 0.1378, 0.7719], [0.8172, 0.3622, 0.2719]]
}



No. 3
{
  "formula": "LaInSb2",
  "functional": "PBE",
  "state": "relaxed",
  "space_group": "P4mm",
  "raw_formation_energy_ev_per_atom": -0.528,
  "energy_ev_per_atom": -4.51,
  "dos_ef_per_ev_cell": 1.70,
  "cell": [[4.3892, 0.0000, 0.0000], [0.0000, 4.3892, 0.0000], [0.0000, 0.0000, 6.5996]],
  "species": ["La", "In", "Sb", "Sb"],
  "fractional_positions": [[0.0000, 0.0000, 0.0000], [0.5000, 0.5000, 0.6482], [0.0000, 0.0000, 0.5122], [0.5000, 0.5000, 0.1128]]
}



No. 4
{
  "formula": "PrZn4Ag2",
  "functional": "PBE",
  "state": "relaxed",
  "space_group": "P4_2/mnm",
  "energy_ev_per_atom": -2.40,
  "e_above_lowest_polymorph_ev_per_atom": 0.043,
  "dos_ef_per_ev_cell": 4.01,
  "cell": [[7.7251, 0.0000, 0.0000], [0.0000, 7.7251, 0.0000], [0.0000, 0.0000, 4.4343]],
  "species": ["Pr", "Pr", "Zn", "Zn", "Zn", "Zn", "Zn", "Zn", "Zn", "Zn", "Ag", "Ag", "Ag", "Ag"],
  "fractional_positions": [[0.0000, 0.0000, 0.0000], [0.5000, 0.5000, 0.5000], [0.0959, 0.3534, 0.5000], [0.1466, 0.5959, 0.0000], [0.3534, 0.0959, 0.5000], [0.4041, 0.8534, 0.0000], [0.5959, 0.1466, 0.0000], [0.6466, 0.9041, 0.5000], [0.8534, 0.4041, 0.0000], [0.9041, 0.6466, 0.5000], [0.2140, 0.7860, 0.5000], [0.2860, 0.2860, 0.0000], [0.7140, 0.7140, 0.0000], [0.7860, 0.2140, 0.5000]]
}



No. 5
{
  "formula": "ScCl",
  "functional": "PBE",
  "state": "relaxed",
  "space_group": "Fd-3m",
  "raw_formation_energy_ev_per_atom": -0.320,
  "energy_ev_per_atom": -4.41,
  "dos_ef_per_ev_cell": 2.92,
  "cell": [[0.0000, 3.5899, 3.5899], [3.5899, 0.0000, 3.5899], [3.5899, 3.5899, 0.0000]],
  "species": ["Sc", "Sc", "Cl", "Cl"],
  "fractional_positions": [[0.1250, 0.1250, 0.1250], [0.8750, 0.8750, 0.8750], [0.3750, 0.3750, 0.3750], [0.6250, 0.6250, 0.6250]]
}



No. 6
{
  "formula": "SrLiHg",
  "functional": "PBE",
  "state": "relaxed",
  "space_group": "P4/nmm",
  "energy_ev_per_atom": -1.68,
  "e_above_lowest_polymorph_ev_per_atom": 0.000,
  "dos_ef_per_ev_cell": 4.72,
  "cell": [[4.6183, 0.0000, 0.0000], [0.0000, 4.6183, 0.0000], [0.0000, 0.0000, 8.1794]],
  "species": ["Sr", "Sr", "Li", "Li", "Hg", "Hg"],
  "fractional_positions": [[0.2500, 0.2500, 0.1588], [0.7500, 0.7500, 0.8412], [0.2500, 0.7500, 0.5000], [0.7500, 0.2500, 0.5000], [0.2500, 0.2500, 0.7171], [0.7500, 0.7500, 0.2829]]
}